[1]
Crystalline TiGa3Ni7 at its relaxed geometry, computed with PBE-GGA.

* calculated formation energy: -0.11 eV per atom
* magnetic moment: 0.0 μB per formula unit

Lattice parameters (Å, degrees): 7.829 8.517 4.757 90.00 113.84 90.00
Space group C2/m (No. 12)
One atom of each set of equivalent atoms:
Ti (0.000, 0.000, 0.000) [2 per cell]
Ga (0.000, 0.275, 0.500) [4 per cell]
Ga (0.000, 0.500, 0.000) [2 per cell]
Ni (0.000, 0.000, 0.500) [2 per cell]
Ni (0.177, 0.264, 0.184) [8 per cell]
Ni (0.200, 0.500, 0.555) [4 per cell]

---

[2]
Crystalline Ti5Ga4Ni at its relaxed geometry, computed with PBE-GGA.

* calculated formation energy: -0.44 eV per atom
* magnetic moment: 0.0 μB per formula unit

Lattice parameters (Å, degrees): 2.811 2.811 19.348 90.00 90.00 90.00
Space group P4/mmm (No. 123)
One atom of each set of equivalent atoms:
Ti (0.000, 0.000, 0.000) [1 per cell]
Ti (0.000, 0.000, 0.206) [2 per cell]
Ti (0.000, 0.000, 0.411) [2 per cell]
Ga (0.500, 0.500, 0.103) [2 per cell]
Ga (0.500, 0.500, 0.309) [2 per cell]
Ni (0.500, 0.500, 0.500) [1 per cell]

---

[3]
Crystalline Ti2GaNi3 at its relaxed geometry, computed with PBE-GGA.

* calculated formation energy: -0.24 eV per atom
* magnetic moment: 0.0 μB per formula unit

Lattice parameters (Å, degrees): 8.105 7.892 5.114 90.00 90.00 90.00
Space group Cmcm (No. 63)
One atom of each set of equivalent atoms:
Ti (0.170, 0.223, 0.250) [8 per cell]
Ga (0.000, 0.275, 0.750) [4 per cell]
Ni (0.000, 0.000, 0.000) [4 per cell]
Ni (0.160, 0.500, 0.000) [8 per cell]

---

DOS(E_F) per entry: 0.667, 0.946, 0.919 states/eV/atom
E_tot per entry: -117.391, -61.802, -150.404 eV/cell